(1)
Entry from Alexandria: NbTeOs after structural relaxation (PBE).

a = 3.7100 Å, b = 3.7100 Å, c = 10.3050 Å
α = 90.00°, β = 90.00°, γ = 120.00°
Space group P-6m2 (No. 187)
Unique sites:
Nb 0.0000 0.0000 0.1528 x2
Te 0.3333 0.6667 0.3409 x2
Os 0.0000 0.0000 0.5000 x1
Os 0.3333 0.6667 0.0000 x1

## Properties
Raw formation energy   0.4581 eV per atom
Total energy   -23.07 eV per formula unit

***

(2)
Entry from Alexandria: NbTe2Os after structural relaxation (PBE).

a = 3.3244 Å, b = 3.3244 Å, c = 27.2768 Å
α = 90.00°, β = 90.00°, γ = 120.00°
Space group R-3m (No. 166, hexagonal axes)
Unique sites:
Nb 0.0000 0.0000 0.0000 x3
Te 0.0000 0.0000 0.4074 x6
Os 0.0000 0.0000 0.5000 x3

## Properties
Raw formation energy   0.5431 eV per atom
Excess energy over the best structure of this formula in the dataset   724 meV per atom
Total energy   -25.41 eV per formula unit

***

(3)
Entry from Alexandria: Nb3TeOs after structural relaxation (PBE).

a = 4.9102 Å, b = 4.9102 Å, c = 4.9102 Å
α = 90.00°, β = 90.00°, γ = 90.00°
Space group Pm-3m (No. 221)
Unique sites:
Nb 0.0000 0.0000 0.5000 x3
Te 0.5000 0.5000 0.5000 x1
Os 0.0000 0.0000 0.0000 x1

## Properties
Raw formation energy   0.8856 eV per atom
Excess energy over the best structure of this formula in the dataset   0 meV per atom
Total energy   -40.15 eV per formula unit

***

(4)
Entry from Alexandria: NbTe6Os after structural relaxation (PBE).

a = 6.5028 Å, b = 6.7819 Å, c = 6.7961 Å
α = 88.06°, β = 61.82°, γ = 62.44°
Space group P-1 (No. 2)
Unique sites:
Nb 0.0000 0.0000 0.0000 x1
Te 0.1149 0.0989 0.3104 x2
Te 0.1613 0.2926 0.7824 x2
Te 0.4981 0.5836 0.7943 x2
Os 0.0000 0.5000 0.5000 x1

## Properties
Raw formation energy   -0.0075 eV per atom
Total energy   -40.21 eV per formula unit